## K3Pm2YS6 (PBE-GGA)

Data for a relaxed K3Pm2YS6 crystal.

abc: 7.1517 12.3894 7.7614
angles: 90.00 107.88 90.00
Last column: nearest neighbours and their distance in Å.
Space group C2/m (No. 12)
Inequivalent atoms, fractional coordinates:
K 0.0000 0.0000 0.0000 x2  6 S 3.22-3.26
K 0.0000 0.3327 0.0000 x4  6 S 3.21-3.26
Pm 0.0000 0.1666 0.5000 x4  6 S 2.84
Y 0.0000 0.5000 0.5000 x2  6 S 2.79
S 0.2320 0.3363 0.7049 x8  1 Y 2.79, 2 Pm 2.84
S 0.2411 0.0000 0.7048 x4  1 Y 2.79, 2 Pm 2.84

Computed properties:
formation energy without anion corrections: -1.87 eV per atom